Record 1
A relaxed structure of ScBeNi6, computed with PBEsol.

symmetry = Cmmm
E_form = -201 kJ/mol of formula units

Cell lengths 6.1086, 6.1086, 10.0872 Å; angles 90.00, 90.00, 111.31 degrees
Last column: nearest neighbours and their distance in Å.
Sites, in units of the cell vectors:
1 Sc 0.0000 0.0000 0.2453  12 Ni 2.47-2.59
2 Sc 0.0000 0.0000 0.7547  12 Ni 2.47-2.59
3 Sc 0.2392 0.7608 0.5000  12 Ni 2.41-2.67
4 Sc 0.7608 0.2392 0.5000  12 Ni 2.41-2.67
5 Be 0.2323 0.7677 0.0000  11 Ni 2.34-2.44
6 Be 0.5000 0.5000 0.2363  12 Ni 2.38-2.66
7 Be 0.5000 0.5000 0.7637  12 Ni 2.38-2.66
8 Be 0.7677 0.2323 0.0000  11 Ni 2.34-2.44
9 Ni 0.0000 0.0000 0.0000  2 Be 2.34, 2 Sc 2.47, 8 Ni 2.53
10 Ni 0.0000 0.0000 0.5000  4 Sc 2.41-2.57, 8 Ni 2.61
11 Ni 0.1351 0.3941 0.1165  8 Ni 2.35-2.61, 3 Be 2.40-2.44, 1 Sc 2.59
12 Ni 0.1351 0.3941 0.8835  8 Ni 2.35-2.61, 3 Be 2.40-2.44, 1 Sc 2.59
13 Ni 0.1495 0.3912 0.3643  1 Be 2.38, 7 Ni 2.42-2.62, 3 Sc 2.52-2.60
14 Ni 0.1495 0.3912 0.6357  1 Be 2.38, 7 Ni 2.42-2.62, 3 Sc 2.52-2.60
15 Ni 0.2513 0.7487 0.2358  8 Ni 2.35-2.62, 2 Be 2.39-2.51, 1 Sc 2.54
16 Ni 0.2513 0.7487 0.7642  8 Ni 2.35-2.62, 2 Be 2.39-2.51, 1 Sc 2.54
17 Ni 0.3912 0.1495 0.3643  1 Be 2.38, 7 Ni 2.42-2.62, 3 Sc 2.52-2.60
18 Ni 0.3912 0.1495 0.6357  1 Be 2.38, 7 Ni 2.42-2.62, 3 Sc 2.52-2.60
19 Ni 0.3941 0.1351 0.1165  8 Ni 2.35-2.61, 3 Be 2.40-2.44, 1 Sc 2.59
20 Ni 0.3941 0.1351 0.8835  8 Ni 2.35-2.61, 3 Be 2.40-2.44, 1 Sc 2.59
21 Ni 0.5000 0.5000 0.0000  2 Be 2.38, 8 Ni 2.39
22 Ni 0.5000 0.5000 0.5000  8 Ni 2.42, 2 Sc 2.63, 2 Be 2.66
23 Ni 0.6059 0.8649 0.1165  8 Ni 2.35-2.61, 3 Be 2.40-2.44, 1 Sc 2.59
24 Ni 0.6059 0.8649 0.8835  8 Ni 2.35-2.61, 3 Be 2.40-2.44, 1 Sc 2.59
25 Ni 0.6088 0.8505 0.3643  1 Be 2.38, 7 Ni 2.42-2.62, 3 Sc 2.52-2.60
26 Ni 0.6088 0.8505 0.6357  1 Be 2.38, 7 Ni 2.42-2.62, 3 Sc 2.52-2.60
27 Ni 0.7487 0.2513 0.2358  8 Ni 2.35-2.62, 2 Be 2.39-2.51, 1 Sc 2.54
28 Ni 0.7487 0.2513 0.7642  8 Ni 2.35-2.62, 2 Be 2.39-2.51, 1 Sc 2.54
29 Ni 0.8505 0.6088 0.3643  1 Be 2.38, 7 Ni 2.42-2.62, 3 Sc 2.52-2.60
30 Ni 0.8505 0.6088 0.6357  1 Be 2.38, 7 Ni 2.42-2.62, 3 Sc 2.52-2.60
31 Ni 0.8649 0.6059 0.1165  8 Ni 2.35-2.61, 3 Be 2.40-2.44, 1 Sc 2.59
32 Ni 0.8649 0.6059 0.8835  8 Ni 2.35-2.61, 3 Be 2.40-2.44, 1 Sc 2.59

Record 2
A relaxed structure of FeTc, computed with PBEsol.

symmetry = Cmcm
E_form = 7 kJ/mol of formula units

Cell lengths 2.5895, 9.3936, 3.9297 Å; angles 90.00, 90.00, 90.00 degrees
Last column: nearest neighbours and their distance in Å.
Sites, in units of the cell vectors:
1 Fe 0.0000 0.0631 0.2500  2 Fe 2.29, 7 Tc 2.51-2.55
2 Fe 0.0000 0.9369 0.7500  2 Fe 2.29, 7 Tc 2.51-2.55
3 Fe 0.5000 0.4369 0.7500  2 Fe 2.29, 7 Tc 2.51-2.55
4 Fe 0.5000 0.5631 0.2500  2 Fe 2.29, 7 Tc 2.51-2.55
5 Tc 0.0000 0.3336 0.2500  7 Fe 2.51-2.55, 2 Tc 2.59
6 Tc 0.0000 0.6664 0.7500  7 Fe 2.51-2.55, 2 Tc 2.59
7 Tc 0.5000 0.1664 0.7500  7 Fe 2.51-2.55, 2 Tc 2.59
8 Tc 0.5000 0.8336 0.2500  7 Fe 2.51-2.55, 2 Tc 2.59

Record 3
A relaxed structure of Cu6Pt5, computed with PBEsol.

symmetry = P-1
E_form = -108 kJ/mol of formula units

Cell lengths 4.5856, 5.8888, 6.0097 Å; angles 107.64, 105.50, 97.43 degrees
Last column: nearest neighbours and their distance in Å.
Sites, in units of the cell vectors:
1 Cu 0.0909 0.3102 0.3617  5 Cu 2.56-2.72, 7 Pt 2.62-2.69
2 Cu 0.1806 0.1309 0.7270  6 Cu 2.56-2.67, 6 Pt 2.58-2.72
3 Cu 0.2683 0.9564 0.0885  5 Pt 2.59-2.70, 7 Cu 2.59-2.68
4 Cu 0.7317 0.0436 0.9115  5 Pt 2.59-2.70, 7 Cu 2.59-2.68
5 Cu 0.8194 0.8691 0.2730  6 Cu 2.56-2.67, 6 Pt 2.58-2.72
6 Cu 0.9091 0.6898 0.6383  5 Cu 2.56-2.72, 7 Pt 2.62-2.69
7 Pt 0.0000 0.5000 0.0000  6 Cu 2.64-2.69, 6 Pt 2.66-2.67
8 Pt 0.3570 0.7778 0.4594  8 Cu 2.58-2.72, 4 Pt 2.61-2.74
9 Pt 0.4543 0.5983 0.8212  7 Cu 2.59-2.69, 5 Pt 2.65-2.74
10 Pt 0.5457 0.4017 0.1788  7 Cu 2.59-2.69, 5 Pt 2.65-2.74
11 Pt 0.6430 0.2222 0.5406  8 Cu 2.58-2.72, 4 Pt 2.61-2.74

Record 4
A relaxed structure of BeSiW, computed with PBEsol.

symmetry = F-43m
polymorph energy (0 for the lowest one) = 564 meV/atom

Cell lengths 5.5609, 5.5609, 5.5609 Å; angles 90.00, 90.00, 90.00 degrees
Last column: nearest neighbours and their distance in Å.
Sites, in units of the cell vectors:
1 Be 0.0000 0.0000 0.0000  4 Si 2.41
2 Be 0.0000 0.5000 0.5000  4 Si 2.41
3 Be 0.5000 0.0000 0.5000  4 Si 2.41
4 Be 0.5000 0.5000 0.0000  4 Si 2.41
5 Si 0.2500 0.2500 0.7500  4 W 2.41, 4 Be 2.41
6 Si 0.2500 0.7500 0.2500  4 W 2.41, 4 Be 2.41
7 Si 0.7500 0.2500 0.2500  4 W 2.41, 4 Be 2.41
8 Si 0.7500 0.7500 0.7500  4 W 2.41, 4 Be 2.41
9 W 0.0000 0.0000 0.5000  4 Si 2.41
10 W 0.0000 0.5000 0.0000  4 Si 2.41
11 W 0.5000 0.0000 0.0000  4 Si 2.41
12 W 0.5000 0.5000 0.5000  4 Si 2.41

Record 5
A relaxed structure of SrAsPtBr2, computed with PBEsol.

symmetry = P4/mmm
energy = -14.5 eV for the cell shown

Cell lengths 5.5509, 5.5509, 6.1623 Å; angles 90.00, 90.00, 90.00 degrees
Last column: nearest neighbours and their distance in Å.
Sites, in units of the cell vectors:
1 Sr 0.0000 0.0000 0.0000  4 Br 2.78, 2 As 3.08
2 As 0.0000 0.0000 0.5000  2 Sr 3.08
3 Pt 0.5000 0.5000 0.5000  4 As 3.93, 8 Br 4.15
4 Br 0.0000 0.5000 0.0000  2 Sr 2.78
5 Br 0.5000 0.0000 0.0000  2 Sr 2.78

Record 6
A relaxed structure of Ta2CrNO5, computed with PBEsol.

symmetry = Cmmm
polymorph energy (0 for the lowest one) = 4 meV/atom

Cell lengths 4.6810, 4.6810, 9.1303 Å; angles 90.00, 90.00, 90.49 degrees
Last column: nearest neighbours and their distance in Å.
Sites, in units of the cell vectors:
1 Ta 0.0000 0.0000 0.1575  2 N 1.95, 4 O 2.03-2.10
2 Ta 0.0000 0.0000 0.8425  2 N 1.95, 4 O 2.03-2.10
3 Ta 0.5000 0.5000 0.3316  6 O 1.96-2.02
4 Ta 0.5000 0.5000 0.6684  6 O 1.96-2.02
5 Cr 0.0000 0.0000 0.5000  6 O 1.97-2.01
6 Cr 0.5000 0.5000 0.0000  2 N 1.98, 4 O 2.03
7 N 0.1997 0.1997 0.0000  2 Ta 1.95, 1 Cr 1.98
8 N 0.8003 0.8003 0.0000  2 Ta 1.95, 1 Cr 1.98
9 O 0.1979 0.1979 0.3382  1 Cr 1.97, 2 Ta 1.99-2.10
10 O 0.1979 0.1979 0.6618  1 Cr 1.97, 2 Ta 1.99-2.10
11 O 0.3029 0.6971 0.5000  1 Cr 2.01, 2 Ta 2.02
12 O 0.3052 0.6948 0.1710  2 Ta 1.96-2.03, 1 Cr 2.03
13 O 0.3052 0.6948 0.8290  2 Ta 1.96-2.03, 1 Cr 2.03
14 O 0.6948 0.3052 0.1710  2 Ta 1.96-2.03, 1 Cr 2.03
15 O 0.6948 0.3052 0.8290  2 Ta 1.96-2.03, 1 Cr 2.03
16 O 0.6971 0.3029 0.5000  1 Cr 2.01, 2 Ta 2.02
17 O 0.8021 0.8021 0.3382  1 Cr 1.97, 2 Ta 1.99-2.10
18 O 0.8021 0.8021 0.6618  1 Cr 1.97, 2 Ta 1.99-2.10

Record 7
A relaxed structure of Ba2HgSe2, computed with PBEsol.

symmetry = P4/mbm
energy = -39.6 eV for the cell shown

Cell lengths 8.9000, 8.9000, 4.0839 Å; angles 90.00, 90.00, 90.00 degrees
Last column: nearest neighbours and their distance in Å.
Sites, in units of the cell vectors:
1 Ba 0.1457 0.3543 0.0000  6 Se 3.24-3.37, 2 Hg 3.41
2 Ba 0.3543 0.8543 0.0000  6 Se 3.24-3.37, 2 Hg 3.41
3 Ba 0.6457 0.1457 0.0000  6 Se 3.24-3.37, 2 Hg 3.41
4 Ba 0.8543 0.6457 0.0000  6 Se 3.24-3.37, 2 Hg 3.41
5 Hg 0.0000 0.0000 0.0000  4 Ba 3.41
6 Hg 0.5000 0.5000 0.0000  4 Ba 3.41
7 Se 0.1549 0.6549 0.5000  6 Ba 3.24-3.37
8 Se 0.3451 0.1549 0.5000  6 Ba 3.24-3.37
9 Se 0.6549 0.8451 0.5000  6 Ba 3.24-3.37
10 Se 0.8451 0.3451 0.5000  6 Ba 3.24-3.37

Record 8
A relaxed structure of Cu2Pt3, computed with PBEsol.

symmetry = R-3m
E_form = -57 kJ/mol of formula units
polymorph energy (0 for the lowest one) = 0 meV/atom

Cell lengths 2.6998, 2.6998, 32.5793 Å; angles 90.00, 90.00, 120.00 degrees
Last column: nearest neighbours and their distance in Å.
Sites, in units of the cell vectors:
1 Cu 0.0000 0.0000 0.1014  6 Pt 2.62-2.64, 6 Cu 2.70
2 Cu 0.0000 0.0000 0.8986  6 Pt 2.62-2.64, 6 Cu 2.70
3 Cu 0.3333 0.6667 0.5653  6 Pt 2.62-2.64, 6 Cu 2.70
4 Cu 0.3333 0.6667 0.7681  6 Pt 2.62-2.64, 6 Cu 2.70
5 Cu 0.6667 0.3333 0.2319  6 Pt 2.62-2.64, 6 Cu 2.70
6 Cu 0.6667 0.3333 0.4347  6 Pt 2.62-2.64, 6 Cu 2.70
7 Pt 0.0000 0.0000 0.2966  3 Cu 2.62, 9 Pt 2.70-2.86
8 Pt 0.0000 0.0000 0.5000  6 Cu 2.64, 6 Pt 2.70
9 Pt 0.0000 0.0000 0.7034  3 Cu 2.62, 9 Pt 2.70-2.86
10 Pt 0.3333 0.6667 0.1667  6 Cu 2.64, 6 Pt 2.70
11 Pt 0.3333 0.6667 0.3701  3 Cu 2.62, 9 Pt 2.70-2.86
12 Pt 0.3333 0.6667 0.9632  3 Cu 2.62, 9 Pt 2.70-2.86
13 Pt 0.6667 0.3333 0.0368  3 Cu 2.62, 9 Pt 2.70-2.86
14 Pt 0.6667 0.3333 0.6299  3 Cu 2.62, 9 Pt 2.70-2.86
15 Pt 0.6667 0.3333 0.8333  6 Cu 2.64, 6 Pt 2.70